No. 1
{"formula": "PaTiGe2", "functional": "PBE", "state": "optimized geometry", "density_g_cm3": 9.0, "sg": "P4/mmm", "e_above_lowest_polymorph_mev_per_atom": 156, "ef_ev_per_atom": -0.3156, "cell": [[4.0267, 0.0000, 0.0000], [0.0000, 4.4129, 0.0000], [0.0000, 0.0000, 4.4129]], "species": ["Ti", "Pa", "Ge", "Ge"], "fractional_positions": [[0.5000, 0.5000, 0.5000], [0.5000, 0.0000, 0.0000], [0.0000, 0.0000, 0.5000], [0.0000, 0.5000, 0.0000]]}


No. 2
{"formula": "AsC3", "functional": "PBE", "state": "optimized geometry", "density_g_cm3": 4.6, "sg": "Pm-3m", "e_above_lowest_polymorph_mev_per_atom": 2744, "ef_ev_per_atom": 3.5059, "cell": [[-2.1842, -0.8064, -2.4952], [0.8284, -3.2933, 0.3393], [-2.4880, -0.3885, 2.3035]], "species": ["C", "As", "C", "C"], "fractional_positions": [[0.0000, 0.5000, 0.5000], [0.0000, 0.0000, 0.0000], [0.5000, 0.5000, 0.0000], [0.5000, 0.0000, 0.5000]]}


No. 3
{"formula": "Ba6PbN2", "functional": "PBE", "state": "optimized geometry", "raw_formation_energy_ev_per_atom": -0.39, "density_g_cm3": 4.9, "sg": "C2/c", "cell": [[-2.4069, -6.2564, 2.3710], [8.2280, -4.1053, 4.7039], [-3.3006, 2.1645, 9.5447]], "species": ["Ba", "Ba", "N", "Ba", "Pb", "Ba", "Ba", "N", "N", "Ba", "Ba", "Pb", "Ba", "Ba", "N", "Ba", "Ba", "Ba"], "fractional_positions": [[0.0752, 0.2866, 0.4835], [0.1536, 0.4064, 0.1294], [0.1128, 0.7267, 0.7411], [0.2532, 0.0563, 0.2020], [0.2500, 0.1823, 0.8177], [0.3464, 0.8706, 0.5936], [0.7468, 0.9437, 0.7980], [0.8872, 0.2733, 0.2589], [0.6128, 0.7411, 0.7267], [0.2468, 0.7980, 0.9437], [0.6536, 0.1294, 0.4064], [0.7500, 0.8177, 0.1823], [0.8464, 0.5936, 0.8706], [0.9248, 0.7134, 0.5165], [0.3872, 0.2589, 0.2733], [0.4248, 0.5165, 0.7134], [0.7532, 0.2020, 0.0563], [0.5752, 0.4835, 0.2866]]}


No. 4
{"formula": "DyYHo", "functional": "PBE", "state": "optimized geometry", "density_g_cm3": 7.3, "sg": "P-6m2", "e_above_lowest_polymorph_mev_per_atom": 44, "ef_ev_per_atom": 0.0661, "cell": [[-3.3079, -1.1030, -0.3510], [1.4849, -3.0392, -4.4434], [0.2050, -2.2413, 5.1108]], "species": ["Dy", "Y", "Ho"], "fractional_positions": [[0.1670, 0.0000, 0.0000], [0.6666, 0.6667, 0.3333], [0.1663, 0.3333, 0.6667]]}


No. 5
{"formula": "ThSeS2", "functional": "PBE", "state": "optimized geometry", "raw_formation_energy_ev_per_atom": 0.17, "density_g_cm3": 6.3, "sg": "R-3m", "cell": [[3.6447, 0.0000, 0.0000], [1.8224, 3.1564, 0.0000], [1.8224, 1.0521, 8.6458]], "species": ["S", "Se", "S", "Th"], "fractional_positions": [[0.8949, 0.8949, 0.3154], [0.5000, 0.5000, 0.5000], [0.1051, 0.1051, 0.6846], [0.0000, 0.0000, 0.0000]]}


No. 6
{"formula": "K2CaSbS4", "functional": "PBE", "state": "optimized geometry", "raw_formation_energy_ev_per_atom": -1.05, "density_g_cm3": 2.9, "sg": "Imma", "cell": [[-7.9668, 2.5207, -0.7027], [-2.4452, -7.9177, -1.2842], [4.6497, 2.0762, 6.8821]], "species": ["S", "S", "K", "Sb", "S", "S", "S", "Ca", "Ca", "Sb", "S", "K", "S", "K", "K", "S"], "fractional_positions": [[0.2420, 0.2581, 0.0389], [0.2419, 0.2580, 0.4611], [0.0000, 0.0000, 0.5000], [0.0000, 0.0000, 0.0000], [0.2038, 0.7556, 0.9797], [0.7581, 0.7420, 0.5389], [0.2556, 0.7038, 0.4797], [0.0000, 0.5000, 0.5000], [0.0000, 0.5000, 0.0000], [0.5000, 0.5000, 0.5000], [0.7963, 0.2444, 0.0203], [0.5000, 0.0000, 0.0000], [0.7580, 0.7419, 0.9611], [0.5000, 0.0000, 0.5000], [0.5000, 0.5000, 0.0000], [0.7444, 0.2963, 0.5203]]}


No. 7
{"formula": "KNaZrGa2", "functional": "PBE", "state": "optimized geometry", "density_g_cm3": 3.3, "sg": "P4/mmm", "ef_ev_per_atom": 0.9450, "cell": [[-5.2202, 0.2567, -0.5860], [-0.1676, -5.2527, -0.8074], [-0.6179, -0.7742, 5.1651]], "species": ["Zr", "Na", "Ga", "K", "Ga"], "fractional_positions": [[0.0000, 0.5000, 0.0000], [0.0000, 0.0000, 0.0000], [0.0000, 0.0000, 0.5000], [0.5000, 0.5000, 0.5000], [0.5000, 0.0000, 0.0000]]}


No. 8
{"formula": "Dy4NiPb2", "functional": "PBE", "state": "optimized geometry", "density_g_cm3": 9.2, "sg": "I4/mmm", "e_above_lowest_polymorph_mev_per_atom": 14, "ef_ev_per_atom": -0.3519, "cell": [[-0.1340, 4.9088, 0.6211], [-4.5853, -0.3567, 1.8297], [5.4820, -3.1591, 6.4268]], "species": ["Dy", "Dy", "Dy", "Pb", "Pb", "Dy", "Ni"], "fractional_positions": [[0.0000, 0.5000, 0.0000], [0.5000, 0.0000, 0.0000], [0.1734, 0.1734, 0.3469], [0.6388, 0.6388, 0.2777], [0.3612, 0.3612, 0.7223], [0.8266, 0.8266, 0.6531], [0.0000, 0.0000, 0.0000]]}